DFT (PBE with a Hubbard U) results for Mn6Bi4O19 after structural relaxation.

abc: 7.597 7.597 7.597
angles: 109.47 109.47 109.47
Atoms (fractional coordinates):
1 Mn 0.160 0.660 0.500
2 Mn 0.340 0.500 0.840
3 Mn 0.500 0.160 0.660
4 Mn 0.500 0.840 0.340
5 Mn 0.660 0.500 0.160
6 Mn 0.840 0.340 0.500
7 Bi 0.000 0.000 0.673
8 Bi 0.000 0.673 0.000
9 Bi 0.327 0.327 0.327
10 Bi 0.673 0.000 0.000
11 O 0.000 0.000 0.000
12 O 0.000 0.350 0.350
13 O 0.000 0.650 0.650
14 O 0.040 0.358 0.748
15 O 0.252 0.611 0.292
16 O 0.292 0.252 0.611
17 O 0.318 0.960 0.708
18 O 0.350 0.000 0.350
19 O 0.350 0.350 0.000
20 O 0.358 0.748 0.040
21 O 0.389 0.642 0.682
22 O 0.611 0.292 0.252
23 O 0.642 0.682 0.389
24 O 0.650 0.000 0.650
25 O 0.650 0.650 0.000
26 O 0.682 0.389 0.642
27 O 0.708 0.318 0.960
28 O 0.748 0.040 0.358
29 O 0.960 0.708 0.318

Values from the calculation:
**Energy**: -6.5451 eV/atom
**N(E_F)**: 12.174 states/eV/cell